Material: Sc8NO2
Method: DFT, PBE
State: optimized geometry

The structure in extended XYZ format:
```
11
Lattice="6.716 0.000 0.000 -3.358 5.816 0.000 0.000 0.000 5.385" Properties=species:S:1:pos:R:3 pbc="T T T"
Sc 0.000 1.864 1.473
Sc -1.744 4.884 1.473
Sc 1.614 0.932 3.912
Sc 0.000 3.877 4.185
Sc 3.358 1.939 1.200
Sc 1.744 4.884 1.473
Sc 5.101 0.932 3.912
Sc 3.358 3.952 3.912
N 0.000 0.000 2.692
O 0.000 3.877 0.855
O 3.358 1.939 4.529
```

Summary:
Space-group type: P-3m1 (164)
Formation energy without anion corrections, meV/atom: -1367
DOS at the Fermi energy, states/eV/atom: 1.265